# 1
The following is a PBE calculation of a relaxed structure of AgGe6Pd12, from Alexandria via LeMat-Bulk.

## Properties
Formation enthalpy at 0 K ... -6.5 eV per formula unit
Energy ... -5.23 eV per atom
Fermi-level density of states ... 0.24 states/eV per atom
M_tot ... 0.0 μB/f.u.

Cell: 11.6547 11.6547 8.2535 Å, 90.00 90.00 120.00°
Space group R-3m (No. 166, hexagonal axes)
Inequivalent atoms, fractional coordinates:
Ag: 0.0000 0.0000 0.0000
Ge: 0.0447 0.5224 0.2585
Pd: 0.0000 0.3766 0.5000
Pd: 0.0837 0.1673 0.3268



# 2
The following is a PBE calculation of a relaxed structure of Ag2GePd2, from Alexandria via LeMat-Bulk.

## Properties
Formation enthalpy at 0 K ... -0.7 eV per formula unit
Energy ... -4.27 eV per atom
Fermi-level density of states ... 0.41 states/eV per atom
M_tot ... 0.0 μB/f.u.

Cell: 6.357 6.357 4.396 Å, 90.00 90.00 90.00°
Space group P4/mbm (No. 127)
Inequivalent atoms, fractional coordinates:
Ag: 0.158 0.342 0.000
Ge: 0.000 0.000 0.500
Pd: 0.150 0.650 0.500



# 3
The following is a PBE calculation of a relaxed structure of AgGePd3, from Alexandria via LeMat-Bulk.

## Properties
Formation enthalpy at 0 K ... 0.9 eV per formula unit
Energy ... -4.42 eV per atom
Fermi-level density of states ... 1.00 states/eV per atom
M_tot ... 0.0 μB/f.u.
Energy relative to the lowest polymorph listed for this composition ... 21.3 kJ/mol of atoms

Cell: 4.629 4.629 4.629 Å, 90.00 90.00 90.00°
Space group Pm-3m (No. 221)
Inequivalent atoms, fractional coordinates:
Ag: 0.000 0.000 0.000
Ge: 0.500 0.500 0.500
Pd: 0.000 0.500 0.500